Entry 1:
Below is crystalline AcLa3Ag4 at its relaxed geometry, with properties calculated at the GGA-PBE level.

a b c (Å): 5.482 7.658 10.962
angles (deg): 90.00 90.00 90.00
Element x y z (fractional)
Ac 0.000 0.500 0.000
Ac 0.000 0.500 0.500
Ag 0.000 0.242 0.750
Ag 0.000 0.242 0.250
Ag 0.500 0.758 0.000
Ag 0.500 0.242 0.000
Ag 0.000 0.758 0.250
Ag 0.000 0.758 0.750
Ag 0.500 0.242 0.500
Ag 0.500 0.758 0.500
La 0.500 0.000 0.250
La 0.000 0.000 0.000
La 0.000 0.000 0.500
La 0.500 0.500 0.250
La 0.500 0.000 0.750
La 0.500 0.500 0.750

Values from the calculation:
Volume, Å³ per cell: 460.1
SG: No. 123
ΔE_f, meV/atom: -255

***

Entry 2:
Below is crystalline Tb8Y at its relaxed geometry, with properties calculated at the GGA-PBE level.

a b c (Å): 5.032 7.968 7.968
angles (deg): 84.28 71.59 71.59
Element x y z (fractional)
Tb 0.333 0.000 0.334
Tb 0.667 0.666 0.000
Tb 0.000 0.334 0.666
Tb 0.667 0.000 0.666
Tb 0.334 0.666 0.666
Tb 0.666 0.334 0.334
Tb 0.333 0.334 0.000
Tb 0.000 0.666 0.334
Y 0.000 0.000 0.000

Values from the calculation:
Volume, Å³ per cell: 287.7
SG: No. 139
ΔE_f, meV/atom: 17

***

Entry 3:
Below is crystalline SrAc4Tl4 at its relaxed geometry, with properties calculated at the GGA-PBE level.

a b c (Å): 6.898 10.382 10.382
angles (deg): 90.00 90.00 90.00
Element x y z (fractional)
Tl 0.626 0.226 0.626
Tl 0.874 0.274 0.874
Tl 0.374 0.374 0.226
Tl 0.626 0.774 0.374
Tl 0.374 0.626 0.774
Tl 0.874 0.726 0.126
Tl 0.126 0.126 0.274
Tl 0.126 0.874 0.726
Ac 0.116 0.186 0.594
Ac 0.116 0.814 0.406
Ac 0.884 0.594 0.814
Ac 0.384 0.314 0.906
Ac 0.384 0.686 0.094
Ac 0.616 0.906 0.686
Ac 0.616 0.094 0.314
Ac 0.884 0.406 0.186
Sr 0.500 0.500 0.500
Sr 0.000 0.000 0.000

Values from the calculation:
Volume, Å³ per cell: 743.5
SG: No. 86
ΔE_f, meV/atom: -181

***

Entry 4:
Below is crystalline KLiOs at its relaxed geometry, with properties calculated at the GGA-PBE level.

a b c (Å): 2.683 6.603 8.508
angles (deg): 112.65 90.34 90.10
Element x y z (fractional)
Li 0.129 0.951 0.394
Li 0.136 0.718 0.582
K 0.120 0.013 0.061
K 0.121 0.375 0.818
Os 0.630 0.344 0.429
Os 0.627 0.548 0.258

Values from the calculation:
Excess energy over the best structure of this formula in the dataset, meV/atom: 53.1
Volume, Å³ per cell: 139.1
SG: No. 1
ΔE_f, meV/atom: 693

***

Entry 5:
Below is crystalline LiBi3H at its relaxed geometry, with properties calculated at the GGA-PBE level.

a b c (Å): 4.946 4.946 4.946
angles (deg): 90.00 90.00 90.00
Element x y z (fractional)
H 0.000 0.000 0.000
Bi 0.000 0.000 0.500
Bi 0.000 0.500 0.000
Bi 0.500 0.000 0.000
Li 0.500 0.500 0.500

Values from the calculation:
Raw total energy, eV per atom: -3.233
Volume, Å³ per cell: 121.0
SG: No. 221

***

Entry 6:
Below is crystalline Al2CoHRh at its relaxed geometry, with properties calculated at the GGA-PBE level.

a b c (Å): 4.116 4.116 3.159
angles (deg): 90.00 90.00 90.00
Element x y z (fractional)
Al 0.500 0.000 0.000
Al 0.000 0.500 0.000
H 0.000 0.000 0.000
Co 0.000 0.000 0.500
Rh 0.500 0.500 0.500

Values from the calculation:
Raw total energy, eV per atom: -5.623
Volume, Å³ per cell: 53.5
SG: No. 123

***

Entry 7:
Below is crystalline NbTeAsSe2 at its relaxed geometry, with properties calculated at the GGA-PBE level.

a b c (Å): 5.258 5.258 5.200
angles (deg): 90.00 90.00 90.00
Last column: magnetic moment on the atom in μB.
Element x y z (fractional)
As 0.000 0.000 0.500  -0.23
Te 0.000 0.000 0.000  0.06
Nb 0.500 0.500 0.500  2.52
Se 0.000 0.500 0.000  -0.18
Se 0.500 0.000 0.000  -0.18

Values from the calculation:
Excess energy over the best structure of this formula in the dataset, meV/atom: 980.6
Uncorrected formation energy, kJ/mol of formula units: 538
Volume, Å³ per cell: 143.8
SG: No. 123

***

Entry 8:
Below is crystalline ZrTa2Fe at its relaxed geometry, with properties calculated at the GGA-PBE level.

a b c (Å): 3.163 3.163 6.947
angles (deg): 90.00 90.00 90.00
Last column: magnetic moment on the atom in μB.
Element x y z (fractional)
Ta 0.000 0.000 0.973  -0.16
Ta 0.500 0.500 0.236  -0.05
Fe 0.500 0.500 0.770  0.90
Zr 0.000 0.000 0.522  -0.11

Values from the calculation:
Excess energy over the best structure of this formula in the dataset, meV/atom: 0.0
Volume, Å³ per cell: 69.5
SG: No. 99
ΔE_f, meV/atom: -29

***

- Among the records above, which one has the highest volume?
  SrAc4Tl4

***

What did the fifth record say?
Below is crystalline LiBi3H at its relaxed geometry, with properties calculated at the GGA-PBE level.

a b c (Å): 4.946 4.946 4.946
angles (deg): 90.00 90.00 90.00
Element x y z (fractional)
H 0.000 0.000 0.000
Bi 0.000 0.000 0.500
Bi 0.000 0.500 0.000
Bi 0.500 0.000 0.000
Li 0.500 0.500 0.500

Values from the calculation:
Raw total energy, eV per atom: -3.233
Volume, Å³ per cell: 121.0
SG: No. 221

***

- What is the formula in the fifth record?
  LiBi3H

***

- Among the records above, which one has the lowest volume?
  Al2CoHRh